# 1
# MgAg2Br4 GGA-PBE optimized geometry
data_MgAg2Br4
_symmetry_space_group_name_H-M 'I 4/m m m'
_symmetry_Int_Tables_number 139
_symmetry_space_group_name_Hall '-I 4 2'
_cell_length_a 5.4652
_cell_length_b 5.4652
_cell_length_c 13.1722
_cell_angle_alpha 90.00
_cell_angle_beta 90.00
_cell_angle_gamma 90.00
loop_
_atom_site_label
_atom_site_type_symbol
_atom_site_fract_x
_atom_site_fract_y
_atom_site_fract_z
Mg1 Mg 0.0000 0.0000 0.0000
Ag1 Ag 0.0000 0.0000 0.3915
Br1 Br 0.0000 0.0000 0.1943
Br2 Br 0.0000 0.5000 0.0000
# **VASP energy**: -36.9 eV/cell
# **Formation energy without anion corrections**: -637 meV per atom
# **Mass density**: 4.72 g/cm3



# 2
# La4CeMg GGA-PBE optimized geometry
data_La4CeMg
_symmetry_space_group_name_H-M 'P 4/m m m'
_symmetry_Int_Tables_number 123
_symmetry_space_group_name_Hall '-P 4 2'
_cell_length_a 3.6059
_cell_length_b 3.6059
_cell_length_c 15.2208
_cell_angle_alpha 90.00
_cell_angle_beta 90.00
_cell_angle_gamma 90.00
loop_
_atom_site_label
_atom_site_type_symbol
_atom_site_fract_x
_atom_site_fract_y
_atom_site_fract_z
La1 La 0.0000 0.0000 0.1571
La2 La 0.5000 0.5000 0.3432
Ce1 Ce 0.0000 0.0000 0.5000
Mg1 Mg 0.5000 0.5000 0.0000
# **Fermi-level density of states**: 10.44 states/eV per cell
# **VASP energy**: -27.2 eV/cell
# **Energy of formation**: 0.00 eV/atom
# **Mass density**: 6.04 g/cm3



# 3
# Zn2Tc GGA-PBE optimized geometry
data_Zn2Tc
_symmetry_space_group_name_H-M 'I 41/a m d'
_symmetry_Int_Tables_number 141
_cell_length_a 3.8165
_cell_length_b 3.8165
_cell_length_c 23.4310
_cell_angle_alpha 90.00
_cell_angle_beta 90.00
_cell_angle_gamma 90.00
loop_
_symmetry_equiv_pos_as_xyz
'x,y,z'
'-x,-y,-z'
'-y+1/4,x+3/4,z+1/4'
'y+1/4,-x+3/4,-z+1/4'
'-x+1/2,-y,z+1/2'
'x+1/2,y,-z+1/2'
'y+1/4,-x+1/4,z+3/4'
'-y+1/4,x+1/4,-z+3/4'
'x,-y,-z'
'-x,y,z'
'-y+1/4,-x+1/4,-z+3/4'
'y+1/4,x+1/4,z+3/4'
'-x+1/2,y,-z+1/2'
'x+1/2,-y,z+1/2'
'y+1/4,x+3/4,-z+1/4'
'-y+1/4,-x+3/4,z+1/4'
'x+1/2,y+1/2,z+1/2'
'-x+1/2,-y+1/2,-z+1/2'
'-y+3/4,x+1/4,z+3/4'
'y+3/4,-x+1/4,-z+3/4'
'-x,-y+1/2,z'
'x,y+1/2,-z'
'y+3/4,-x+3/4,z+1/4'
'-y+3/4,x+3/4,-z+1/4'
'x+1/2,-y+1/2,-z+1/2'
'-x+1/2,y+1/2,z+1/2'
'-y+3/4,-x+3/4,-z+1/4'
'y+3/4,x+3/4,z+1/4'
'-x,y+1/2,-z'
'x,-y+1/2,z'
'y+3/4,x+1/4,-z+3/4'
'-y+3/4,-x+1/4,z+3/4'
loop_
_atom_site_label
_atom_site_type_symbol
_atom_site_fract_x
_atom_site_fract_y
_atom_site_fract_z
Zn1 Zn 0.0000 0.2500 0.1239
Zn2 Zn 0.0000 0.2500 0.7893
Tc1 Tc 0.0000 0.2500 0.2955
# **Fermi-level density of states**: 19.59 states/eV per cell
# **VASP energy**: -101.6 eV/cell
# **Energy of formation**: 0.07 eV/atom
# **Mass density**: 8.91 g/cm3



# 4
# MgBiAs2 GGA-PBE optimized geometry
data_MgBiAs2
_symmetry_space_group_name_H-M 'F m -3 m'
_symmetry_Int_Tables_number 225
_symmetry_space_group_name_Hall '-F 4 2 3'
_cell_length_a 7.1695
_cell_length_b 7.1695
_cell_length_c 7.1695
_cell_angle_alpha 90.00
_cell_angle_beta 90.00
_cell_angle_gamma 90.00
loop_
_atom_site_label
_atom_site_type_symbol
_atom_site_fract_x
_atom_site_fract_y
_atom_site_fract_z
Mg1 Mg 0.0000 0.0000 0.0000
Bi1 Bi 0.0000 0.0000 0.5000
As1 As 0.2500 0.2500 0.2500
# **Fermi-level density of states**: 8.59 states/eV per cell
# **VASP energy**: -58.1 eV/cell
# **Energy of formation**: 0.06 eV/atom
# **Mass density**: 6.91 g/cm3